Entry 1:
Below is a relaxed structure of MnMoAs2H, with properties calculated at the PBE level.

The raw total energy comes out at -5.56 eV/atom.

It has space group P4/mmm (No. 123), with a = 4.803 Å, b = 4.803 Å, c = 5.103 Å, α = 90.00°, β = 90.00° and γ = 90.00°. The asymmetric unit holds Mn at (0.000, 0.000, 0.000), Mo at (0.000, 0.000, 0.500), As at (0.000, 0.500, 0.500) and H at (0.500, 0.500, 0.000).

---

Entry 2:
Below is a relaxed structure of ErNpMnC3, with properties calculated at the PBE level.

The raw total energy comes out at -9.01 eV/atom. Its formation energy is 0.04 eV/atom.

It has space group P2_1/m (No. 11), with a = 7.052 Å, b = 3.448 Å, c = 7.221 Å, α = 90.00°, β = 93.40° and γ = 90.00°. The asymmetric unit holds Er at (0.150, 0.250, 0.176), Np at (0.369, 0.750, 0.817), Mn at (0.093, 0.250, 0.587), C at (0.130, 0.250, 0.841), C at (0.162, 0.750, 0.510) and C at (0.409, 0.750, 0.128).

---

Entry 3:
Below is a relaxed structure of La2Tl2Sb, with properties calculated at the PBE level.

The raw total energy comes out at -4.22 eV/atom. For the energy above the lowest structure with this stoichiometry, the calculation gives 0.0000 eV per atom. The uncorrected formation energy comes out at -478 meV per atom.

It has space group P4/mbm (No. 127), with a = 8.199 Å, b = 8.199 Å, c = 4.710 Å, α = 90.00°, β = 90.00° and γ = 90.00°. The asymmetric unit holds La at (0.171, 0.329, 0.000), Tl at (0.132, 0.632, 0.500) and Sb at (0.000, 0.000, 0.500).

---

For the records above, the corresponding N(E_F) values read 2.7 15.9 8.5 states/eV per cell.